# Lu2PaN | the Alexandria database | PBE | optimized geometry
# ΔE to the lowest computed polymorph ... 426.4 meV/atom
# Energy relative to the elements, uncorrected ... -0.226 eV/atom
# Spin magnetization ... 0.000 μB/cell
# Density of states at the Fermi level ... 3.97 states/eV/cell
data_Lu2PaN
_space_group_name_H-M_alt 'P 4/m m m'
_space_group_IT_number 123
_space_group_name_Hall '-P 4 2'
_cell_length_a 3.068
_cell_length_b 3.068
_cell_length_c 8.110
_cell_angle_alpha 90.00
_cell_angle_beta 90.00
_cell_angle_gamma 90.00
loop_
_atom_site_label
_atom_site_type_symbol
_atom_site_fract_x
_atom_site_fract_y
_atom_site_fract_z
Lu1 Lu 0.000 0.000 0.171
Pa1 Pa 0.500 0.500 0.500
N1 N 0.500 0.500 0.000